# 1
KCdPt2 | SCAN | single point on PBEsol structure

Cell lengths 5.9185, 8.6553, 2.8548 Å; angles 90.00, 90.00, 90.00 degrees
Space group Cmmm (No. 65)
Inequivalent atoms, fractional coordinates:
K  0.0000  0.0000  0.0000 (multiplicity 2)
Cd  0.0000  0.5000  0.0000 (multiplicity 2)
Pt  0.2500  0.2500  0.5000 (multiplicity 4)

Output
**Crystal system**: orthorhombic
**Energy above the most stable polymorph in this dataset**: 0.46 eV/f.u.

***

# 2
Y2NiTe | SCAN | single point on PBEsol structure

Cell lengths 4.0593, 4.0593, 6.1800 Å; angles 90.00, 90.00, 90.00 degrees
Space group P4mm (No. 99)
Inequivalent atoms, fractional coordinates:
Y  0.0000  0.0000  0.0000 (multiplicity 1)
Y  0.5000  0.5000  0.3794 (multiplicity 1)
Ni  0.0000  0.0000  0.4089 (multiplicity 1)
Te  0.5000  0.5000  0.8633 (multiplicity 1)

Output
**Crystal system**: tetragonal
**Raw formation energy**: -0.68 eV/atom

***

# 3
TcRu | SCAN | single point on PBEsol structure

Cell lengths 9.7720, 2.7016, 6.3501 Å; angles 90.00, 103.61, 90.00 degrees
Space group Cm (No. 8)
Inequivalent atoms, fractional coordinates:
Tc  0.0000  0.0000  0.0000 (multiplicity 2)
Tc  0.0563  0.0000  0.6140 (multiplicity 2)
Tc  0.3862  0.0000  0.2800 (multiplicity 2)
Ru  0.1662  0.5000  0.3348 (multiplicity 2)
Ru  0.2225  0.5000  0.9449 (multiplicity 2)
Ru  0.3329  0.0000  0.6684 (multiplicity 2)

Output
**Crystal system**: monoclinic
**Energy above the most stable polymorph in this dataset**: 0.03 eV/f.u.

***

# 4
ScH2CCl | SCAN | single point on PBEsol structure

Cell lengths 3.4326, 3.4326, 4.4791 Å; angles 90.00, 90.00, 90.00 degrees
Space group P4/mmm (No. 123)
Inequivalent atoms, fractional coordinates:
Sc  0.0000  0.0000  0.0000 (multiplicity 1)
H  0.0000  0.5000  0.5000 (multiplicity 2)
C  0.0000  0.0000  0.5000 (multiplicity 1)
Cl  0.5000  0.5000  0.0000 (multiplicity 1)

Output
**Crystal system**: tetragonal
**Energy**: -7.701 eV/atom

***

# 5
TlIrPb3 | SCAN | single point on PBEsol structure

Cell lengths 5.5232, 5.5232, 5.5232 Å; angles 90.00, 90.00, 90.00 degrees
Space group Pm-3m (No. 221)
Inequivalent atoms, fractional coordinates:
Tl  0.0000  0.0000  0.0000 (multiplicity 1)
Ir  0.5000  0.5000  0.5000 (multiplicity 1)
Pb  0.0000  0.0000  0.5000 (multiplicity 3)

Output
**Crystal system**: cubic
**Energy**: -72.532 eV/atom

***

# 6
YBi | SCAN | single point on PBEsol structure

Cell lengths 6.2377, 6.2377, 6.2377 Å; angles 90.00, 90.00, 90.00 degrees
Space group Fm-3m (No. 225)
Inequivalent atoms, fractional coordinates:
Y  0.0000  0.0000  0.0000 (multiplicity 4)
Bi  0.0000  0.0000  0.5000 (multiplicity 4)

Output
**Crystal system**: cubic
**Energy**: -54.272 eV/atom

***

# 7
SrAs2Pt2 | SCAN | single point on PBEsol structure

Cell lengths 9.9212, 4.4638, 8.8313 Å; angles 90.00, 90.81, 90.00 degrees
Space group P2_1/c (No. 14)
Inequivalent atoms, fractional coordinates:
Sr  0.2465  0.2399  0.1274 (multiplicity 4)
As  0.0006  0.2445  0.3766 (multiplicity 4)
As  0.3725  0.6957  0.3886 (multiplicity 4)
Pt  0.1216  0.7458  0.3742 (multiplicity 4)
Pt  0.4990  0.6705  0.1419 (multiplicity 4)

Output
**Crystal system**: monoclinic
**Energy**: -41.560 eV/atom

***

# 8
Cu2P | SCAN | single point on PBEsol structure

Cell lengths 6.3355, 3.6086, 6.8235 Å; angles 90.00, 90.00, 90.00 degrees
Space group Pnma (No. 62)
Inequivalent atoms, fractional coordinates:
Cu  0.1040  0.2500  0.0973 (multiplicity 4)
Cu  0.1356  0.2500  0.7327 (multiplicity 4)
P  0.2256  0.2500  0.4126 (multiplicity 4)

Output
**Crystal system**: orthorhombic
**Energy**: -13.606 eV/atom

***

# 9
HfMgBi2 | SCAN | single point on PBEsol structure

Cell lengths 6.6648, 6.6648, 13.0930 Å; angles 90.00, 90.00, 90.00 degrees
Space group I-42d (No. 122)
Inequivalent atoms, fractional coordinates:
Hf  0.0000  0.0000  0.0000 (multiplicity 4)
Mg  0.0000  0.0000  0.5000 (multiplicity 4)
Bi  0.2394  0.2500  0.1250 (multiplicity 8)

Output
**Crystal system**: tetragonal
**Energy**: -56.040 eV/atom

***

# 10
Cu2Pt3 | SCAN | single point on PBEsol structure

Cell lengths 2.6998, 2.6998, 32.5793 Å; angles 90.00, 90.00, 120.00 degrees
Space group R-3m (No. 166, hexagonal axes)
Inequivalent atoms, fractional coordinates:
Cu  0.0000  0.0000  0.1014 (multiplicity 6)
Pt  0.0000  0.0000  0.2966 (multiplicity 6)
Pt  0.0000  0.0000  0.5000 (multiplicity 3)

Output
**Crystal system**: trigonal
**Energy above the most stable polymorph in this dataset**: 0.00 eV/f.u.

***

# 11
FeMoC2 | SCAN | single point on PBEsol structure

Cell lengths 5.1666, 5.1666, 5.1666 Å; angles 90.00, 90.00, 90.00 degrees
Space group Fm-3m (No. 225)
Inequivalent atoms, fractional coordinates:
Fe  0.0000  0.0000  0.0000 (multiplicity 4)
Mo  0.0000  0.0000  0.5000 (multiplicity 4)
C  0.2500  0.2500  0.2500 (multiplicity 8)

Output
**Crystal system**: cubic
**Energy**: -17.357 eV/atom

***

# 12
NbAsC3 | SCAN | single point on PBEsol structure

Cell lengths 3.8168, 3.8168, 3.8168 Å; angles 90.00, 90.00, 90.00 degrees
Space group Pm-3m (No. 221)
Inequivalent atoms, fractional coordinates:
Nb  0.0000  0.0000  0.0000 (multiplicity 1)
As  0.5000  0.5000  0.5000 (multiplicity 1)
C  0.0000  0.5000  0.5000 (multiplicity 3)

Output
**Crystal system**: cubic
**Energy**: -14.428 eV/atom

***

# 13
AgSbSe2Br | SCAN | single point on PBEsol structure

Cell lengths 5.0164, 5.0164, 4.9634 Å; angles 90.00, 90.00, 90.00 degrees
Space group P4/mmm (No. 123)
Inequivalent atoms, fractional coordinates:
Ag  0.0000  0.0000  0.0000 (multiplicity 1)
Sb  0.5000  0.5000  0.5000 (multiplicity 1)
Se  0.0000  0.5000  0.0000 (multiplicity 2)
Br  0.0000  0.0000  0.5000 (multiplicity 1)

Output
**Crystal system**: tetragonal
**Raw formation energy**: 0.41 eV/atom

***

# 14
Cs2TiGe | SCAN | single point on PBEsol structure

Cell lengths 8.2690, 8.2690, 8.2690 Å; angles 90.00, 90.00, 90.00 degrees
Space group Fm-3m (No. 225)
Inequivalent atoms, fractional coordinates:
Cs  0.2500  0.2500  0.2500 (multiplicity 8)
Ti  0.0000  0.0000  0.0000 (multiplicity 4)
Ge  0.0000  0.0000  0.5000 (multiplicity 4)

Output
**Crystal system**: cubic
**Energy**: -26.607 eV/atom

***

# 15
OsRu3 | SCAN | single point on PBEsol structure

Cell lengths 5.3656, 5.3656, 8.6547 Å; angles 90.00, 90.00, 120.00 degrees
Space group P6_3/mmc (No. 194)
Inequivalent atoms, fractional coordinates:
Os  0.0000  0.0000  0.0000 (multiplicity 2)
Os  0.3333  0.6667  0.2500 (multiplicity 2)
Ru  0.0000  0.5000  0.0000 (multiplicity 6)
Ru  0.1665  0.3329  0.7500 (multiplicity 6)

Output
**Crystal system**: hexagonal
**Energy**: -44.002 eV/atom

***

# 16
CoRuI2 | SCAN | single point on PBEsol structure

Cell lengths 6.6099, 6.6099, 6.6099 Å; angles 90.00, 90.00, 90.00 degrees
Space group Fm-3m (No. 225)
Inequivalent atoms, fractional coordinates:
Co  0.0000  0.0000  0.0000 (multiplicity 4)
Ru  0.0000  0.0000  0.5000 (multiplicity 4)
I  0.2500  0.2500  0.2500 (multiplicity 8)

Output
**Crystal system**: cubic
**Raw formation energy**: 1.13 eV/atom

***

# 17
Ca2TlH2 | SCAN | single point on PBEsol structure

Cell lengths 7.5498, 7.5498, 3.1541 Å; angles 90.00, 90.00, 90.00 degrees
Space group P4/mbm (No. 127)
Inequivalent atoms, fractional coordinates:
Ca  0.1506  0.3494  0.0000 (multiplicity 4)
Tl  0.0000  0.0000  0.5000 (multiplicity 2)
H  0.0976  0.5976  0.5000 (multiplicity 4)

Output
**Crystal system**: tetragonal
**Energy above the most stable polymorph in this dataset**: 1.93 eV/f.u.

***

# 18
Mn2InTe | SCAN | single point on PBEsol structure

Cell lengths 6.1243, 6.9110, 3.3338 Å; angles 90.00, 90.00, 90.00 degrees
Space group Cmmm (No. 65)
Inequivalent atoms, fractional coordinates:
Mn  0.2500  0.2500  0.0000 (multiplicity 4)
In  0.0000  0.0000  0.5000 (multiplicity 2)
Te  0.0000  0.5000  0.5000 (multiplicity 2)

Output
**Crystal system**: orthorhombic
**Energy above the most stable polymorph in this dataset**: 0.82 eV/f.u.
**Raw formation energy**: 0.14 eV/atom

***

# 19
SiMoBr3 | SCAN | single point on PBEsol structure

Cell lengths 5.0671, 5.0671, 5.0671 Å; angles 90.00, 90.00, 90.00 degrees
Space group Pm-3m (No. 221)
Inequivalent atoms, fractional coordinates:
Si  0.0000  0.0000  0.0000 (multiplicity 1)
Mo  0.5000  0.5000  0.5000 (multiplicity 1)
Br  0.0000  0.5000  0.5000 (multiplicity 3)

Output
**Crystal system**: cubic
**Raw formation energy**: 0.52 eV/atom

***

# 20
RbHg2Os | SCAN | single point on PBEsol structure

Cell lengths 7.1072, 7.1072, 7.1072 Å; angles 90.00, 90.00, 90.00 degrees
Space group Fm-3m (No. 225)
Inequivalent atoms, fractional coordinates:
Rb  0.0000  0.0000  0.0000 (multiplicity 4)
Hg  0.2500  0.2500  0.2500 (multiplicity 8)
Os  0.0000  0.0000  0.5000 (multiplicity 4)

Output
**Crystal system**: cubic
**Energy**: -56.084 eV/atom

***

Number 1: total moment 0.00 μB per cell. Number 2: total moment 0.00 μB per cell. Number 3: total moment 0.00 μB per cell. Number 4: total moment 0.00 μB per cell. Number 5: total moment 0.00 μB per cell. Number 6: total moment 0.00 μB per cell. Number 7: total moment 0.00 μB per cell. Number 8: total moment 0.00 μB per cell. Number 9: total moment 0.00 μB per cell. Number 10: total moment 0.00 μB per cell. Number 11: total moment 7.42 μB per cell. Number 12: total moment 0.00 μB per cell. Number 13: total moment 0.00 μB per cell. Number 14: total moment 7.95 μB per cell. Number 15: total moment 0.00 μB per cell. Number 16: total moment 3.11 μB per cell. Number 17: total moment 0.00 μB per cell. Number 18: total moment 13.84 μB per cell. Number 19: total moment 4.89 μB per cell. Number 20: total moment 2.63 μB per cell.